The following is a GGA+U calculation of an optimized crystal structure of InNiSnO2, from Alexandria via LeMat-Bulk.

Cell: 3.9840 5.2585 3.9840 Å, 90.00 90.00 90.00°
Last column: nearest neighbours and their distance in Å.
Sites, in units of the cell vectors:
Ni  0.0000  0.5000  0.0000  2 Sn 2.63, 4 In 2.82
Sn  0.0000  0.0000  0.0000  4 O 1.99
O  0.0000  0.0000  0.5000  2 Sn 1.99
O  0.5000  0.0000  0.0000  2 Sn 1.99
In  0.5000  0.5000  0.5000  4 Ni 2.82

Output
Its space group is P4/mmm (123). The spin magnetization comes out at 0.0 μB per formula unit. For the calculated total energy, the calculation gives -3.94 eV per atom. As for the density of states at the Fermi level: 2.0 states/eV/f.u.